#w
The following is a PBE calculation of Rb3SrHg after structural relaxation, from the Alexandria database.

Its crystal system is cubic.

a = 8.4364 Å, b = 8.4364 Å, c = 8.4364 Å
α = 90.00°, β = 90.00°, γ = 90.00°
Space group Pm-3m (No. 221)
Unique sites:
Rb: 0.0000 0.0000 0.5000 (multiplicity 3)
Sr: 0.0000 0.0000 0.0000 (multiplicity 1)
Hg: 0.5000 0.5000 0.5000 (multiplicity 1)

=====

#x
The following is a PBE calculation of Rb3SrHg after structural relaxation, from the Alexandria database.

Its crystal system is cubic.

a = 7.0434 Å, b = 7.0434 Å, c = 7.0434 Å
α = 90.00°, β = 90.00°, γ = 90.00°
Space group Pm-3m (No. 221)
Unique sites:
Rb: 0.0000 0.0000 0.5000 (multiplicity 3)
Sr: 0.5000 0.5000 0.5000 (multiplicity 1)
Hg: 0.0000 0.0000 0.0000 (multiplicity 1)

=====

Stability comparison, relative energies in meV per atom: #w 309; #x 0